# 1
Computed, not measured: crystalline Ho3Pd2Au2 at its relaxed geometry at the PBE level of DFT.

Results
Its spin magnetization is 0.0 μB/f.u. The energy comes out at -5.15 eV/atom. The energy of formation from the pure elements comes out at -0.773 eV per atom.

Cell and atoms, written as CIF:
```
data_Ho3Pd2Au2
_chemical_formula_sum 'Ho3 Pd2 Au2'
_cell_length_a 4.847
_cell_length_b 4.912
_cell_length_c 7.825
_cell_angle_alpha 81.62
_cell_angle_beta 82.53
_cell_angle_gamma 60.96
_symmetry_space_group_name_H-M 'P -1'
_symmetry_Int_Tables_number 2
_symmetry_space_group_name_Hall '-P 1'
loop_
_atom_site_label
_atom_site_type_symbol
_atom_site_fract_x
_atom_site_fract_y
_atom_site_fract_z
Ho1 Ho 0.000 0.000 0.000
Ho2 Ho 0.293 0.283 0.315
Pd1 Pd 0.055 0.079 0.644
Au1 Au 0.352 0.356 0.837
```

=====

# 2
Computed, not measured: crystalline Mg2InPb4 at its relaxed geometry at the PBE level of DFT.

Results
Its spin magnetization is 0.0 μB/f.u. Its polymorph energy (0 for the lowest one) is 0.0 meV/atom. The energy comes out at -2.99 eV/atom. The energy of formation from the pure elements comes out at -0.022 eV per atom.

Cell and atoms, written as CIF:
```
data_Mg2InPb4
_chemical_formula_sum 'Mg2 In1 Pb4'
_cell_length_a 3.495
_cell_length_b 3.542
_cell_length_c 15.980
_cell_angle_alpha 95.88
_cell_angle_beta 96.22
_cell_angle_gamma 90.64
_symmetry_space_group_name_H-M 'P 1'
_symmetry_Int_Tables_number 1
_symmetry_space_group_name_Hall 'P 1'
loop_
_atom_site_label
_atom_site_type_symbol
_atom_site_fract_x
_atom_site_fract_y
_atom_site_fract_z
Mg1 Mg 0.000 0.000 0.000
Mg2 Mg 0.127 0.139 0.266
In1 In 0.855 0.856 0.713
Pb1 Pb 0.276 0.288 0.562
Pb2 Pb 0.436 0.434 0.868
Pb3 Pb 0.564 0.568 0.132
Pb4 Pb 0.691 0.707 0.399
```

=====

# 3
Computed, not measured: crystalline YRuIO2 at its relaxed geometry at the PBE level of DFT.

Results
Its spin magnetization is 3.8 μB/f.u. Its polymorph energy (0 for the lowest one) is 0.0 meV/atom. The energy comes out at -5.99 eV/atom. Its uncorrected formation energy is -52.58 kJ per mole of atoms.

Cell and atoms, written as CIF:
```
data_YRuIO2
_chemical_formula_sum 'Y1 Ru1 I1 O2'
_cell_length_a 4.273
_cell_length_b 4.273
_cell_length_c 6.456
_cell_angle_alpha 90.00
_cell_angle_beta 90.00
_cell_angle_gamma 90.00
_symmetry_space_group_name_H-M 'P 4/m m m'
_symmetry_Int_Tables_number 123
_symmetry_space_group_name_Hall '-P 4 2'
loop_
_atom_site_label
_atom_site_type_symbol
_atom_site_fract_x
_atom_site_fract_y
_atom_site_fract_z
Y1 Y 0.000 0.000 0.000
Ru1 Ru 0.500 0.500 0.500
I1 I 0.000 0.000 0.500
O1 O 0.000 0.500 0.000
```

=====

# 4
Computed, not measured: crystalline YMgAg2 at its relaxed geometry at the PBE level of DFT.

Results
Its spin magnetization is 0.0 μB/f.u. The energy comes out at -3.64 eV/atom. The energy of formation from the pure elements comes out at -0.200 eV per atom.

Cell and atoms, written as CIF:
```
data_YMgAg2
_chemical_formula_sum 'Y1 Mg1 Ag2'
_cell_length_a 4.965
_cell_length_b 4.965
_cell_length_c 3.564
_cell_angle_alpha 90.00
_cell_angle_beta 90.00
_cell_angle_gamma 90.00
_symmetry_space_group_name_H-M 'P 4/m m m'
_symmetry_Int_Tables_number 123
_symmetry_space_group_name_Hall '-P 4 2'
loop_
_atom_site_label
_atom_site_type_symbol
_atom_site_fract_x
_atom_site_fract_y
_atom_site_fract_z
Y1 Y 0.000 0.000 0.000
Mg1 Mg 0.500 0.500 0.000
Ag1 Ag 0.000 0.500 0.500
```

=====

# 5
Computed, not measured: crystalline GdGaAu at its relaxed geometry at the PBE level of DFT.

Results
Its spin magnetization is 7.3 μB/f.u. The energy comes out at -7.36 eV/atom. The energy of formation from the pure elements comes out at -0.564 eV per atom.

Cell and atoms, written as CIF:
```
data_GdGaAu
_chemical_formula_sum 'Gd2 Ga2 Au2'
_cell_length_a 3.466
_cell_length_b 3.466
_cell_length_c 10.717
_cell_angle_alpha 90.00
_cell_angle_beta 90.00
_cell_angle_gamma 90.00
_symmetry_space_group_name_H-M 'I 4 m m'
_symmetry_Int_Tables_number 107
_symmetry_space_group_name_Hall 'I 4 -2'
loop_
_atom_site_label
_atom_site_type_symbol
_atom_site_fract_x
_atom_site_fract_y
_atom_site_fract_z
Gd1 Gd 0.000 0.000 0.000
Ga1 Ga 0.000 0.000 0.686
Au1 Au 0.000 0.000 0.318
```

=====

# 6
Computed, not measured: crystalline Y2GaGe at its relaxed geometry at the PBE level of DFT.

Results
Its spin magnetization is 0.0 μB/f.u. The energy comes out at -5.52 eV/atom. The energy of formation from the pure elements comes out at -0.375 eV per atom.

Cell and atoms, written as CIF:
```
data_Y2GaGe
_chemical_formula_sum 'Y8 Ga4 Ge4'
_cell_length_a 7.781
_cell_length_b 7.781
_cell_length_c 6.747
_cell_angle_alpha 90.00
_cell_angle_beta 90.00
_cell_angle_gamma 90.00
_symmetry_space_group_name_H-M 'I -4 2 d'
_symmetry_Int_Tables_number 122
_symmetry_space_group_name_Hall 'I -4 2bw'
loop_
_atom_site_label
_atom_site_type_symbol
_atom_site_fract_x
_atom_site_fract_y
_atom_site_fract_z
Y1 Y 0.242 0.250 0.125
Ga1 Ga 0.000 0.000 0.500
Ge1 Ge 0.000 0.000 0.000
```

=====

# 7
Computed, not measured: crystalline K2UIO6 at its relaxed geometry at the PBE level of DFT.

Results
Its spin magnetization is 0.0 μB/f.u. The energy comes out at -6.36 eV/atom. Its uncorrected formation energy is -181.69 kJ per mole of atoms.

Cell and atoms, written as CIF:
```
data_K2UIO6
_chemical_formula_sum 'K4 U2 I2 O12'
_cell_length_a 5.992
_cell_length_b 5.992
_cell_length_c 9.846
_cell_angle_alpha 90.00
_cell_angle_beta 90.00
_cell_angle_gamma 90.00
_symmetry_space_group_name_H-M 'I 4/m m m'
_symmetry_Int_Tables_number 139
_symmetry_space_group_name_Hall '-I 4 2'
loop_
_atom_site_label
_atom_site_type_symbol
_atom_site_fract_x
_atom_site_fract_y
_atom_site_fract_z
K1 K 0.000 0.500 0.250
U1 U 0.000 0.000 0.000
I1 I 0.000 0.000 0.500
O1 O 0.000 0.000 0.195
O2 O 0.243 0.243 0.500
```

=====

# 8
Computed, not measured: crystalline LiCeTmRu at its relaxed geometry at the PBE level of DFT.

Results
Its spin magnetization is 0.4 μB/f.u. The energy comes out at -5.60 eV/atom. The energy of formation from the pure elements comes out at -0.204 eV per atom.

Cell and atoms, written as CIF:
```
data_LiCeTmRu
_chemical_formula_sum 'Li4 Ce4 Tm4 Ru4'
_cell_length_a 6.946
_cell_length_b 6.946
_cell_length_c 6.946
_cell_angle_alpha 90.00
_cell_angle_beta 90.00
_cell_angle_gamma 90.00
_symmetry_space_group_name_H-M 'F -4 3 m'
_symmetry_Int_Tables_number 216
_symmetry_space_group_name_Hall 'F -4 2 3'
loop_
_atom_site_label
_atom_site_type_symbol
_atom_site_fract_x
_atom_site_fract_y
_atom_site_fract_z
Li1 Li 0.000 0.000 0.000
Ce1 Ce 0.250 0.250 0.250
Tm1 Tm 0.250 0.250 0.750
Ru1 Ru 0.000 0.000 0.500
```

=====

- What is the energy in the first record?
  -5.15 eV/atom

=====

- Which of these has the lowest energy?
  GdGaAu

=====

- Which formula does entry 4 have?
  YMgAg2

=====

- spin magnetization of number 8 (LiCeTmRu)?
  0.4 μB/f.u.